No. 1
Computed, not measured: crystalline CdAs2P at its relaxed geometry at the PBE level of DFT.

Computed properties:
* relative energy among the computed polymorphs: 388 meV per atom
* calculated total energy: -0.2504 Ry per atom
* space group: P4/mmm, No. 123
* calculated formation energy: 0.50 eV/atom

Cell and atoms, written as extended XYZ:
```
4
Lattice="4.715 0.000 0.000 0.000 4.715 0.000 0.000 0.000 3.466" Properties=species:S:1:pos:R:3 pbc="T T T"
Cd 0.000 0.000 0.000
As 0.000 2.357 1.733
As 2.357 0.000 1.733
P 2.357 2.357 0.000
```

No. 2
Computed, not measured: crystalline Er2Co3P4 at its relaxed geometry at the PBE level of DFT.

Computed properties:
* calculated total energy: -0.4837 Ry per atom
* space group: Fmmm, No. 69
* calculated formation energy: -0.79 eV/atom

Cell and atoms, written as extended XYZ:
```
9
Lattice="0.000 4.590 5.766 2.583 0.000 5.766 2.583 4.590 0.000" Properties=species:S:1:pos:R:3 pbc="T T T"
Er 2.583 4.590 1.665
Er 2.583 4.590 9.867
Co 1.291 2.295 0.000
Co 1.291 2.295 5.766
Co 2.583 4.590 5.766
P 2.583 3.128 4.100
P 2.583 3.128 7.432
P 2.583 6.052 4.100
P 2.583 6.052 7.432
```

No. 3
Computed, not measured: crystalline NpPPdN at its relaxed geometry at the PBE level of DFT.

Computed properties:
* calculated total energy: -0.6490 Ry per atom
* space group: P4/nmm, No. 129
* E_form (uncorrected): -0.86 eV per atom

Cell and atoms, written as extended XYZ:
```
8
Lattice="3.911 0.000 0.000 0.000 3.911 0.000 0.000 0.000 8.057" Properties=species:S:1:pos:R:3 pbc="T T T"
Np 0.978 0.978 1.116
Np 2.933 2.933 6.940
P 0.978 0.978 5.478
P 2.933 2.933 2.579
Pd 0.978 2.933 4.028
Pd 2.933 0.978 4.028
N 0.978 2.933 0.000
N 2.933 0.978 0.000
```